First-principles (GGA+U) data for crystalline MnNiTe2O6 at its relaxed geometry, as listed in Alexandria.

Values from the calculation:
SG: C2/c, No. 15
Crystal system: monoclinic
E: -5.626 eV per atom

a = 7.686 Å, b = 7.686 Å, c = 5.737 Å
α = 108.47°, β = 108.47°, γ = 66.12°
Positions (direct):
Mn 0.111 0.889 0.750
Mn 0.889 0.111 0.250
Ni 0.257 0.743 0.250
Ni 0.743 0.257 0.750
Te 0.125 0.401 0.744
Te 0.401 0.125 0.244
Te 0.599 0.875 0.756
Te 0.875 0.599 0.256
O 0.011 0.182 0.670
O 0.182 0.011 0.170
O 0.219 0.625 0.891
O 0.223 0.369 0.112
O 0.369 0.223 0.612
O 0.375 0.781 0.609
O 0.625 0.219 0.391
O 0.631 0.777 0.388
O 0.777 0.631 0.888
O 0.781 0.375 0.109
O 0.818 0.989 0.830
O 0.989 0.818 0.330